Below is crystalline Sr2TlHPb at its relaxed geometry, with properties calculated at the GGA-PBE level.

a = 5.287 Å, b = 5.287 Å, c = 4.936 Å
α = 90.00°, β = 90.00°, γ = 90.00°
Sites, in units of the cell vectors:
Sr1 0.000 0.500 0.000
Sr2 0.500 0.000 0.000
H1 0.000 0.000 0.000
Pb1 0.500 0.500 0.500
Tl1 0.000 0.000 0.500

Output
Calculated volume: 27.60 A^3/atom
Polymorph energy (0 for the lowest one): 0.0000 eV per atom
Space-group type: No. 123
Total moment: 0.0 μB/cell



Below is crystalline Sr2TlHPb at its relaxed geometry, with properties calculated at the GGA-PBE level.

a = 5.414 Å, b = 5.414 Å, c = 4.784 Å
α = 90.00°, β = 90.00°, γ = 90.00°
Sites, in units of the cell vectors:
Tl1 0.500 0.500 0.500
H1 0.000 0.000 0.000
Sr1 0.500 0.000 0.000
Sr2 0.000 0.500 0.000
Pb1 0.000 0.000 0.500

Output
Calculated volume: 28.05 A^3/atom
Polymorph energy (0 for the lowest one): 0.0388 eV per atom
Space-group type: No. 123
Total moment: 0.0 μB/cell



Below is crystalline SrV2HPb at its relaxed geometry, with properties calculated at the GGA-PBE level.

a = 5.239 Å, b = 6.498 Å, c = 5.239 Å
α = 90.00°, β = 90.00°, γ = 90.00°
Sites, in units of the cell vectors:
Sr1 0.000 0.500 0.000
V1 0.000 0.000 0.500
V2 0.500 0.000 0.000
Pb1 0.000 0.000 0.000
H1 0.500 0.500 0.500

Output
Calculated volume: 35.66 A^3/atom
Space-group type: No. 123
Total moment: 7.0 μB/cell
Calculated total energy: -4.09 eV per atom



Below is crystalline Sr2VHPb at its relaxed geometry, with properties calculated at the GGA-PBE level.

a = 6.397 Å, b = 5.252 Å, c = 6.397 Å
α = 90.00°, β = 90.00°, γ = 90.00°
Sites, in units of the cell vectors:
H1 0.500 0.500 0.500
Sr1 0.000 0.000 0.500
Sr2 0.500 0.000 0.000
V1 0.000 0.500 0.000
Pb1 0.000 0.000 0.000

Output
Calculated volume: 42.99 A^3/atom
Space-group type: No. 123
Total moment: 4.0 μB/cell
Calculated total energy: -3.23 eV per atom



What is the formula in the fourth record? Sr2VHPb



Number 2 is which compound? Sr2TlHPb



What is the calculated volume in the second record? 28.05 A^3/atom